Record 1
## HfCd2Pb (PBE)

Data for HfCd2Pb after structural relaxation.

Computed properties:
* energy of formation from the pure elements: 0.053 eV/atom
* raw total energy: -3.82 eV per atom

Geometry as CIF:
```
data_HfCd2Pb
_chemical_formula_sum 'Hf1 Cd2 Pb1'
_symmetry_space_group_name_H-M 'P 4/m m m'
_symmetry_Int_Tables_number 123
_symmetry_space_group_name_Hall '-P 4 2'
_cell_length_a 4.384
_cell_length_b 4.384
_cell_length_c 4.744
_cell_angle_alpha 90.00
_cell_angle_beta 90.00
_cell_angle_gamma 90.00
loop_
_atom_site_label
_atom_site_type_symbol
_atom_site_fract_x
_atom_site_fract_y
_atom_site_fract_z
Hf1 Hf 0.000 0.000 0.000
Cd1 Cd 0.000 0.500 0.500
Pb1 Pb 0.500 0.500 0.000
```

---

Record 2
## YbNdPt2 (PBE)

Data for YbNdPt2 after structural relaxation.

Computed properties:
* energy of formation from the pure elements: -1.126 eV/atom
* raw total energy: -5.72 eV per atom

Geometry as CIF:
```
data_YbNdPt2
_chemical_formula_sum 'Yb4 Nd4 Pt8'
_symmetry_space_group_name_H-M 'F m -3 m'
_symmetry_Int_Tables_number 225
_symmetry_space_group_name_Hall '-F 4 2 3'
_cell_length_a 7.052
_cell_length_b 7.052
_cell_length_c 7.052
_cell_angle_alpha 90.00
_cell_angle_beta 90.00
_cell_angle_gamma 90.00
loop_
_atom_site_label
_atom_site_type_symbol
_atom_site_fract_x
_atom_site_fract_y
_atom_site_fract_z
Yb1 Yb 0.000 0.000 0.000
Nd1 Nd 0.000 0.000 0.500
Pt1 Pt 0.250 0.250 0.250
```

---

Record 3
## Pm6Y2Ru (PBE)

Data for Pm6Y2Ru after structural relaxation.

Computed properties:
* energy of formation from the pure elements: -0.029 eV/atom
* raw total energy: -5.66 eV per atom

Geometry as CIF:
```
data_Pm6Y2Ru
_chemical_formula_sum 'Pm6 Y2 Ru1'
_symmetry_space_group_name_H-M 'P 1 2/m 1'
_symmetry_Int_Tables_number 10
_cell_length_a 8.785
_cell_length_b 3.795
_cell_length_c 8.905
_cell_angle_alpha 90.00
_cell_angle_beta 93.20
_cell_angle_gamma 90.00
loop_
_symmetry_equiv_pos_as_xyz
'x,y,z'
'-x,-y,-z'
'-x,y,-z'
'x,-y,z'
loop_
_atom_site_label
_atom_site_type_symbol
_atom_site_fract_x
_atom_site_fract_y
_atom_site_fract_z
Pm1 Pm 0.032 0.000 0.197
Pm2 Pm 0.229 0.500 0.552
Pm3 Pm 0.445 0.000 0.281
Y1 Y 0.302 0.500 0.968
Ru1 Ru 0.000 0.000 0.500
```

---

Record 4
## HfGePb (PBE)

Data for HfGePb after structural relaxation.

Computed properties:
* energy of formation from the pure elements: -0.097 eV/atom
* raw total energy: -6.19 eV per atom

Geometry as CIF:
```
data_HfGePb
_chemical_formula_sum 'Hf2 Ge2 Pb2'
_symmetry_space_group_name_H-M 'P 4/n m m'
_symmetry_Int_Tables_number 129
_cell_length_a 3.866
_cell_length_b 3.866
_cell_length_c 8.993
_cell_angle_alpha 90.00
_cell_angle_beta 90.00
_cell_angle_gamma 90.00
loop_
_symmetry_equiv_pos_as_xyz
'x,y,z'
'-x,-y,-z'
'-y+1/2,x,z'
'y+1/2,-x,-z'
'-x+1/2,-y+1/2,z'
'x+1/2,y+1/2,-z'
'y,-x+1/2,z'
'-y,x+1/2,-z'
'x+1/2,-y,-z'
'-x+1/2,y,z'
'-y,-x,-z'
'y,x,z'
'-x,y+1/2,-z'
'x,-y+1/2,z'
'y+1/2,x+1/2,-z'
'-y+1/2,-x+1/2,z'
loop_
_atom_site_label
_atom_site_type_symbol
_atom_site_fract_x
_atom_site_fract_y
_atom_site_fract_z
Hf1 Hf 0.250 0.250 0.228
Ge1 Ge 0.250 0.750 0.000
Pb1 Pb 0.250 0.250 0.603
```

---

Record 5
## BePRu2 (PBE)

Data for BePRu2 after structural relaxation.

Computed properties:
* energy of formation from the pure elements: -0.442 eV/atom
* distance to the lowest polymorph of the same formula: 25 meV per atom
* raw total energy: -7.36 eV per atom

Geometry as CIF:
```
data_BePRu2
_chemical_formula_sum 'Be1 P1 Ru2'
_symmetry_space_group_name_H-M 'P 1 m 1'
_symmetry_Int_Tables_number 6
_cell_length_a 3.005
_cell_length_b 3.798
_cell_length_c 4.418
_cell_angle_alpha 90.00
_cell_angle_beta 109.61
_cell_angle_gamma 90.00
loop_
_symmetry_equiv_pos_as_xyz
'x,y,z'
'x,-y,z'
loop_
_atom_site_label
_atom_site_type_symbol
_atom_site_fract_x
_atom_site_fract_y
_atom_site_fract_z
Be1 Be 0.000 0.000 0.000
P1 P 0.171 0.500 0.339
Ru1 Ru 0.457 0.500 0.906
Ru2 Ru 0.718 0.000 0.445
```

---

Record 6
## U4Ge6Pd5 (PBE)

Data for U4Ge6Pd5 after structural relaxation.

Computed properties:
* energy of formation from the pure elements: -0.343 eV/atom
* raw total energy: -6.93 eV per atom

Geometry as CIF:
```
data_U4Ge6Pd5
_chemical_formula_sum 'U16 Ge24 Pd20'
_symmetry_space_group_name_H-M 'C m c 21'
_symmetry_Int_Tables_number 36
_cell_length_a 4.248
_cell_length_b 18.955
_cell_length_c 14.729
_cell_angle_alpha 90.00
_cell_angle_beta 90.00
_cell_angle_gamma 90.00
loop_
_symmetry_equiv_pos_as_xyz
'x,y,z'
'-x,-y,z+1/2'
'-x,y,z'
'x,-y,z+1/2'
'x+1/2,y+1/2,z'
'-x+1/2,-y+1/2,z+1/2'
'-x+1/2,y+1/2,z'
'x+1/2,-y+1/2,z+1/2'
loop_
_atom_site_label
_atom_site_type_symbol
_atom_site_fract_x
_atom_site_fract_y
_atom_site_fract_z
U1 U 0.000 0.018 0.000
U2 U 0.000 0.033 0.268
U3 U 0.000 0.159 0.804
U4 U 0.000 0.175 0.436
Ge1 Ge 0.000 0.110 0.615
Ge2 Ge 0.000 0.227 0.984
Ge3 Ge 0.000 0.240 0.258
Ge4 Ge 0.000 0.418 0.628
Ge5 Ge 0.000 0.428 0.911
Ge6 Ge 0.000 0.441 0.358
Pd1 Pd 0.000 0.154 0.127
Pd2 Pd 0.000 0.311 0.116
Pd3 Pd 0.000 0.340 0.774
Pd4 Pd 0.000 0.348 0.481
Pd5 Pd 0.000 0.453 0.178
```

---

Record 7
## BeReSi2 (PBE)

Data for BeReSi2 after structural relaxation.

Computed properties:
* formation energy without anion corrections: 0.41 eV per atom
* raw total energy: -6.35 eV per atom

Geometry as CIF:
```
data_BeReSi2
_chemical_formula_sum 'Be2 Re2 Si4'
_symmetry_space_group_name_H-M 'C m m m'
_symmetry_Int_Tables_number 65
_symmetry_space_group_name_Hall '-C 2 2'
_cell_length_a 3.075
_cell_length_b 4.560
_cell_length_c 7.592
_cell_angle_alpha 90.00
_cell_angle_beta 90.00
_cell_angle_gamma 90.00
loop_
_atom_site_label
_atom_site_type_symbol
_atom_site_fract_x
_atom_site_fract_y
_atom_site_fract_z
Be1 Be 0.000 0.000 0.000
Re1 Re 0.000 0.000 0.500
Si1 Si 0.000 0.500 0.239
```

---

Record 8
## TmCd2Ag2 (PBE)

Data for TmCd2Ag2 after structural relaxation.

Computed properties:
* energy of formation from the pure elements: -0.153 eV/atom
* distance to the lowest polymorph of the same formula: 52 meV per atom
* raw total energy: -2.55 eV per atom

Geometry as CIF:
```
data_TmCd2Ag2
_chemical_formula_sum 'Tm4 Cd8 Ag8'
_symmetry_space_group_name_H-M 'C 1 2/c 1'
_symmetry_Int_Tables_number 15
_cell_length_a 10.423
_cell_length_b 5.253
_cell_length_c 8.349
_cell_angle_alpha 90.00
_cell_angle_beta 112.83
_cell_angle_gamma 90.00
loop_
_symmetry_equiv_pos_as_xyz
'x,y,z'
'-x,-y,-z'
'-x,y,-z+1/2'
'x,-y,z+1/2'
'x+1/2,y+1/2,z'
'-x+1/2,-y+1/2,-z'
'-x+1/2,y+1/2,-z+1/2'
'x+1/2,-y+1/2,z+1/2'
loop_
_atom_site_label
_atom_site_type_symbol
_atom_site_fract_x
_atom_site_fract_y
_atom_site_fract_z
Tm1 Tm 0.000 0.186 0.250
Cd1 Cd 0.110 0.320 0.961
Ag1 Ag 0.191 0.192 0.646
```

---

Record 9
## InHPt (PBE)

Data for InHPt after structural relaxation.

Computed properties:
* distance to the lowest polymorph of the same formula: 22 meV per atom
* raw total energy: -4.25 eV per atom

Geometry as CIF:
```
data_InHPt
_chemical_formula_sum 'In2 H2 Pt2'
_symmetry_space_group_name_H-M 'P -1'
_symmetry_Int_Tables_number 2
_cell_length_a 4.397
_cell_length_b 4.454
_cell_length_c 5.147
_cell_angle_alpha 74.93
_cell_angle_beta 73.74
_cell_angle_gamma 70.46
loop_
_symmetry_equiv_pos_as_xyz
'x,y,z'
'-x,-y,-z'
loop_
_atom_site_label
_atom_site_type_symbol
_atom_site_fract_x
_atom_site_fract_y
_atom_site_fract_z
In1 In 0.126 0.129 0.189
H1 H 0.485 0.502 0.307
Pt1 Pt 0.286 0.285 0.623
```

---

Record 10
## TlTc3 (PBE)

Data for TlTc3 after structural relaxation.

Computed properties:
* energy of formation from the pure elements: 0.549 eV/atom
* distance to the lowest polymorph of the same formula: 135 meV per atom
* raw total energy: -7.82 eV per atom

Geometry as CIF:
```
data_TlTc3
_chemical_formula_sum 'Tl4 Tc12'
_symmetry_space_group_name_H-M 'P n m a'
_symmetry_Int_Tables_number 62
_cell_length_a 5.077
_cell_length_b 9.133
_cell_length_c 5.650
_cell_angle_alpha 90.00
_cell_angle_beta 90.00
_cell_angle_gamma 90.00
loop_
_symmetry_equiv_pos_as_xyz
'x,y,z'
'-x,-y,-z'
'-x+1/2,-y,z+1/2'
'x+1/2,y,-z+1/2'
'x+1/2,-y+1/2,-z+1/2'
'-x+1/2,y+1/2,z+1/2'
'-x,y+1/2,-z'
'x,-y+1/2,z'
loop_
_atom_site_label
_atom_site_type_symbol
_atom_site_fract_x
_atom_site_fract_y
_atom_site_fract_z
Tl1 Tl 0.061 0.250 0.120
Tc1 Tc 0.074 0.250 0.635
Tc2 Tc 0.221 0.512 0.362
```

---

Record 11
## Np3PaAs4 (PBE)

Data for Np3PaAs4 after structural relaxation.

Computed properties:
* energy of formation from the pure elements: -0.780 eV/atom
* raw total energy: -9.14 eV per atom

Geometry as CIF:
```
data_Np3PaAs4
_chemical_formula_sum 'Np3 Pa1 As4'
_symmetry_space_group_name_H-M 'P m -3 m'
_symmetry_Int_Tables_number 221
_symmetry_space_group_name_Hall '-P 4 2 3'
_cell_length_a 5.803
_cell_length_b 5.803
_cell_length_c 5.803
_cell_angle_alpha 90.00
_cell_angle_beta 90.00
_cell_angle_gamma 90.00
loop_
_atom_site_label
_atom_site_type_symbol
_atom_site_fract_x
_atom_site_fract_y
_atom_site_fract_z
Np1 Np 0.000 0.000 0.500
Pa1 Pa 0.500 0.500 0.500
As1 As 0.000 0.000 0.000
As2 As 0.000 0.500 0.500
```

---

Record 12
## SrMg3 (PBE)

Data for SrMg3 after structural relaxation.

Computed properties:
* energy of formation from the pure elements: -0.068 eV/atom
* raw total energy: -1.68 eV per atom

Geometry as CIF:
```
data_SrMg3
_chemical_formula_sum 'Sr6 Mg18'
_symmetry_space_group_name_H-M 'P 63/m m c'
_symmetry_Int_Tables_number 194
_symmetry_space_group_name_Hall '-P 6c 2c'
_cell_length_a 6.3973
_cell_length_b 6.3973
_cell_length_c 20.1460
_cell_angle_alpha 90.00
_cell_angle_beta 90.00
_cell_angle_gamma 120.00
loop_
_atom_site_label
_atom_site_type_symbol
_atom_site_fract_x
_atom_site_fract_y
_atom_site_fract_z
Sr1 Sr 0.3333 0.6667 0.0358
Sr2 Sr 0.3333 0.6667 0.2500
Mg1 Mg 0.0000 0.0000 0.0000
Mg2 Mg 0.0000 0.0000 0.2500
Mg3 Mg 0.1688 0.3375 0.6266
Mg4 Mg 0.3333 0.6667 0.7500
```

---

Q: The lowest raw total energy belongs to which entry?
A: Np3PaAs4

---

Q: raw total energy of number 11 (Np3PaAs4)?
A: -9.14 eV per atom

---

Copy entry 6 word for word.
## U4Ge6Pd5 (PBE)

Data for U4Ge6Pd5 after structural relaxation.

Computed properties:
* energy of formation from the pure elements: -0.343 eV/atom
* raw total energy: -6.93 eV per atom

Geometry as CIF:
```
data_U4Ge6Pd5
_chemical_formula_sum 'U16 Ge24 Pd20'
_symmetry_space_group_name_H-M 'C m c 21'
_symmetry_Int_Tables_number 36
_cell_length_a 4.248
_cell_length_b 18.955
_cell_length_c 14.729
_cell_angle_alpha 90.00
_cell_angle_beta 90.00
_cell_angle_gamma 90.00
loop_
_symmetry_equiv_pos_as_xyz
'x,y,z'
'-x,-y,z+1/2'
'-x,y,z'
'x,-y,z+1/2'
'x+1/2,y+1/2,z'
'-x+1/2,-y+1/2,z+1/2'
'-x+1/2,y+1/2,z'
'x+1/2,-y+1/2,z+1/2'
loop_
_atom_site_label
_atom_site_type_symbol
_atom_site_fract_x
_atom_site_fract_y
_atom_site_fract_z
U1 U 0.000 0.018 0.000
U2 U 0.000 0.033 0.268
U3 U 0.000 0.159 0.804
U4 U 0.000 0.175 0.436
Ge1 Ge 0.000 0.110 0.615
Ge2 Ge 0.000 0.227 0.984
Ge3 Ge 0.000 0.240 0.258
Ge4 Ge 0.000 0.418 0.628
Ge5 Ge 0.000 0.428 0.911
Ge6 Ge 0.000 0.441 0.358
Pd1 Pd 0.000 0.154 0.127
Pd2 Pd 0.000 0.311 0.116
Pd3 Pd 0.000 0.340 0.774
Pd4 Pd 0.000 0.348 0.481
Pd5 Pd 0.000 0.453 0.178
```

---

Q: Which of these has the lowest raw total energy?
A: Np3PaAs4